# RbNaCoCl4, optimized geometry, DFT PBE
# Total energy = -3.7245 eV per atom
# Total moment = 6.00 μB/cell
# Formation energy without anion corrections = -9.29 eV per formula unit
data_RbNaCoCl4
_cell_length_a 6.834
_cell_length_b 7.139
_cell_length_c 8.792
_cell_angle_alpha 90.00
_cell_angle_beta 107.48
_cell_angle_gamma 90.00
_space_group_name_H-M_alt 'P 1 21/m 1'
_space_group_IT_number 11
_space_group_name_Hall '-P 2yb'
loop_
_atom_site_label
_atom_site_type_symbol
_atom_site_fract_x
_atom_site_fract_y
_atom_site_fract_z
Rb1 Rb 0.242 0.250 0.437
Na1 Na 0.283 0.250 0.950
Co1 Co 0.268 0.750 0.174
Cl1 Cl 0.052 0.750 0.926
Cl2 Cl 0.080 0.750 0.346
Cl3 Cl 0.491 0.506 0.218


# RbSb2Te4, optimized geometry, DFT PBE
# Distance to the lowest polymorph of the same formula = 38 meV/atom
# Total energy = -3.3665 eV per atom
# Total moment = 0.00 μB/cell
# Formation energy without anion corrections = -1.79 eV per formula unit
# DOS at the Fermi energy = 4.81 states/eV/f.u.
data_RbSb2Te4
_cell_length_a 4.305
_cell_length_b 13.983
_cell_length_c 17.164
_cell_angle_alpha 90.00
_cell_angle_beta 90.00
_cell_angle_gamma 90.00
_space_group_name_H-M_alt 'C m c m'
_space_group_IT_number 63
_space_group_name_Hall '-C 2c 2'
loop_
_atom_site_label
_atom_site_type_symbol
_atom_site_fract_x
_atom_site_fract_y
_atom_site_fract_z
Rb1 Rb 0.000 0.098 0.250
Sb1 Sb 0.000 0.357 0.070
Te1 Te 0.000 0.000 0.000
Te2 Te 0.000 0.290 0.596
Te3 Te 0.000 0.383 0.250


# Cs3Pu2HgO8, optimized geometry, DFT PBE
# Total energy = -6.8018 eV per atom
# Total moment = 5.00 μB/cell
# Formation energy without anion corrections = -24.03 eV per formula unit
# DOS at the Fermi energy = 11.49 states/eV/f.u.
data_Cs3Pu2HgO8
_cell_length_a 6.4494
_cell_length_b 6.4494
_cell_length_c 8.6305
_cell_angle_alpha 90.00
_cell_angle_beta 90.00
_cell_angle_gamma 120.00
_space_group_name_H-M_alt 'P -3 m 1'
_space_group_IT_number 164
_space_group_name_Hall '-P 3 2"'
loop_
_atom_site_label
_atom_site_type_symbol
_atom_site_fract_x
_atom_site_fract_y
_atom_site_fract_z
Cs1 Cs 0.0000 0.0000 0.0000
Cs2 Cs 0.3333 0.6667 0.6405
Pu1 Pu 0.3333 0.6667 0.2078
Hg1 Hg 0.0000 0.0000 0.5000
O1 O 0.1767 0.3534 0.3230
O2 O 0.3333 0.6667 0.9864


# Nd2Cd2Cu15, optimized geometry, DFT PBE
# Total energy = -3.9163 eV per atom
# ΔE_f = -0.084 eV/atom
# Total moment = 0.00 μB/cell
# DOS at the Fermi energy = 9.14 states/eV/f.u.
data_Nd2Cd2Cu15
_cell_length_a 8.8139
_cell_length_b 8.8139
_cell_length_c 12.8389
_cell_angle_alpha 90.00
_cell_angle_beta 90.00
_cell_angle_gamma 120.00
_space_group_name_H-M_alt 'R -3 m'
_space_group_IT_number 166
_space_group_name_Hall '-R 3 2"'
loop_
_atom_site_label
_atom_site_type_symbol
_atom_site_fract_x
_atom_site_fract_y
_atom_site_fract_z
Nd1 Nd 0.0000 0.0000 0.1477
Cd1 Cd 0.0000 0.0000 0.3941
Cu1 Cu 0.0000 0.3018 0.5000
Cu2 Cu 0.0000 0.5000 0.0000
Cu3 Cu 0.0050 0.5025 0.6543


# Sm3DyHo2, optimized geometry, DFT PBE
# Total energy = -4.6498 eV per atom
# ΔE_f = 0.003 eV/atom
# Total moment = 0.00 μB/cell
# DOS at the Fermi energy = 7.44 states/eV/f.u.
data_Sm3DyHo2
_cell_length_a 7.215
_cell_length_b 7.216
_cell_length_c 8.893
_cell_angle_alpha 78.26
_cell_angle_beta 78.24
_cell_angle_gamma 60.02
_space_group_name_H-M_alt 'P -1'
_space_group_IT_number 2
_space_group_name_Hall '-P 1'
loop_
_atom_site_label
_atom_site_type_symbol
_atom_site_fract_x
_atom_site_fract_y
_atom_site_fract_z
Sm1 Sm 0.139 0.139 0.166
Sm2 Sm 0.140 0.639 0.165
Sm3 Sm 0.251 0.249 0.502
Dy1 Dy 0.251 0.749 0.501
Ho1 Ho 0.363 0.360 0.832
Ho2 Ho 0.363 0.860 0.834


# LuThNiIr, optimized geometry, DFT PBE
# Total energy = -7.2784 eV per atom
# ΔE_f = -0.633 eV/atom
# Total moment = 0.00 μB/cell
# DOS at the Fermi energy = 3.65 states/eV/f.u.
data_LuThNiIr
_cell_length_a 6.921
_cell_length_b 6.921
_cell_length_c 6.921
_cell_angle_alpha 90.00
_cell_angle_beta 90.00
_cell_angle_gamma 90.00
_space_group_name_H-M_alt 'F -4 3 m'
_space_group_IT_number 216
_space_group_name_Hall 'F -4 2 3'
loop_
_atom_site_label
_atom_site_type_symbol
_atom_site_fract_x
_atom_site_fract_y
_atom_site_fract_z
Lu1 Lu 0.000 0.000 0.000
Th1 Th 0.000 0.000 0.500
Ni1 Ni 0.250 0.250 0.750
Ir1 Ir 0.250 0.250 0.250


# KAu2, optimized geometry, DFT PBE
# Total energy = -2.8226 eV per atom
# ΔE_f = -0.272 eV/atom
# Total moment = 0.00 μB/cell
# DOS at the Fermi energy = 1.14 states/eV/f.u.
data_KAu2
_cell_length_a 11.859
_cell_length_b 4.777
_cell_length_c 6.510
_cell_angle_alpha 90.00
_cell_angle_beta 111.35
_cell_angle_gamma 90.00
_space_group_name_H-M_alt 'C 1 2/m 1'
_space_group_IT_number 12
_space_group_name_Hall '-C 2y'
loop_
_atom_site_label
_atom_site_type_symbol
_atom_site_fract_x
_atom_site_fract_y
_atom_site_fract_z
K1 K 0.108 0.000 0.306
Au1 Au 0.101 0.500 0.689
Au2 Au 0.208 0.000 0.884